# 1
! BaMnGeO4 (GGA+U, relaxed); values from VASP
! Space group ... P2_1/m (11)
! V ... 225 Å³/cell
! VASP energy ... -0.2519 hartree per atom
! DOS(E_F) ... 0.00 states/eV/atom
&SYSTEM
  ibrav = 0, nat = 14, ntyp = 4
/
ATOMIC_SPECIES
O 16.00 O.upf
Ge 72.64 Ge.upf
Ba 137.33 Ba.upf
Mn 54.94 Mn.upf
ATOMIC_POSITIONS angstrom
O 1.880 4.444 0.858
O 1.643 4.444 3.774
O -0.433 3.115 2.046
O 3.932 2.810 4.761
O 3.932 0.153 4.761
O 1.619 1.481 5.948
O 1.856 1.481 3.033
O -0.433 5.772 2.046
Ge 2.709 1.481 4.559
Ge 0.790 4.444 2.247
Ba 2.088 4.444 6.394
Ba 1.411 1.481 0.413
Mn -0.220 1.481 3.443
Mn 3.719 4.444 3.363
CELL_PARAMETERS angstrom
5.607 0.000 0.070
0.000 5.925 0.000
-2.108 0.000 6.736


# 2
! Ba3MnGe2O8 (GGA+U, relaxed); values from VASP
! Space group ... P-3m1 (164)
! V ... 224 Å³/cell
! VASP energy ... -0.2466 hartree per atom
! DOS(E_F) ... 0.00 states/eV/atom
&SYSTEM
  ibrav = 0, nat = 14, ntyp = 4
/
ATOMIC_SPECIES
O 16.00 O.upf
Ba 137.33 Ba.upf
Ge 72.64 Ge.upf
Mn 54.94 Mn.upf
ATOMIC_POSITIONS angstrom
O -1.431 4.212 2.378
O 2.932 3.345 5.143
O 0.000 3.386 7.456
O 1.501 0.867 5.143
O 4.363 0.867 5.143
O 1.431 4.212 2.378
O 0.000 1.733 2.378
O 2.932 1.693 0.065
Ba 0.000 3.386 4.958
Ba 2.932 1.693 2.562
Ba 0.000 0.000 0.000
Ge 0.000 3.386 1.669
Ge 2.932 1.693 5.851
Mn 0.000 0.000 3.760
CELL_PARAMETERS angstrom
5.864 0.000 0.000
-2.932 5.078 0.000
0.000 0.000 7.520


# 3
! Ba3MnGe2O9 (GGA+U, relaxed); values from VASP
! Space group ... P-3m1 (164)
! V ... 192 Å³/cell
! VASP energy ... -0.2381 hartree per atom
! DOS(E_F) ... 0.44 states/eV/atom
&SYSTEM
  ibrav = 0, nat = 15, ntyp = 4
/
ATOMIC_SPECIES
O 16.00 O.upf
Ge 72.64 Ge.upf
Mn 54.94 Mn.upf
Ba 137.33 Ba.upf
ATOMIC_POSITIONS angstrom
O 4.382 -0.710 2.149
O 2.813 -0.090 -0.200
O -0.009 -2.626 1.049
O 4.070 -2.139 -1.581
O 5.640 -2.759 0.767
O 4.079 0.436 -2.609
O 1.283 -2.090 -1.409
O 1.292 0.536 -2.458
O 4.373 -3.284 3.177
Ge 2.705 -0.812 -2.009
Ge 5.748 -2.036 2.577
Mn 2.944 0.666 1.693
Ba 5.637 -0.149 -0.323
Ba 2.815 -2.699 0.891
Ba 0.000 0.000 0.000
CELL_PARAMETERS angstrom
-0.019 -5.252 2.098
2.584 1.073 -4.915
5.887 1.331 3.385


Among the records above, which one has the highest VASP energy?
Ba3MnGe2O9


Which formula does entry 3 have?
Ba3MnGe2O9